1.
# Ti5Sn2Sb (PBE, optimized geometry)
data_Ti5Sn2Sb
_chemical_formula_sum 'Ti10 Sn4 Sb2'
_space_group_name_H-M_alt 'P b a m'
_space_group_IT_number 55
_space_group_name_Hall '-P 2 2ab'
_cell_length_a 5.780
_cell_length_b 11.068
_cell_length_c 4.687
_cell_angle_alpha 90.00
_cell_angle_beta 90.00
_cell_angle_gamma 90.00
loop_
_atom_site_label
_atom_site_type_symbol
_atom_site_fract_x
_atom_site_fract_y
_atom_site_fract_z
_atom_site_occupancy
Ti1 Ti 0.000 0.000 0.000 1
Ti2 Ti 0.139 0.397 0.500 1
Ti3 Ti 0.168 0.766 0.000 1
Sn1 Sn 0.119 0.146 0.500 1
Sb1 Sb 0.000 0.500 0.000 1
# Density   6629 kg/m3
# Uncorrected formation energy   -32 kJ per mole of atoms
# E_tot   -6.79 eV per atom

---

2.
# Ba2Tl13 (PBE, optimized geometry)
data_Ba2Tl13
_chemical_formula_sum 'Ba6 Tl39'
_space_group_name_H-M_alt 'R -3 m'
_space_group_IT_number 166
_space_group_name_Hall '-R 3 2"'
_cell_length_a 9.2010
_cell_length_b 9.2010
_cell_length_c 22.8202
_cell_angle_alpha 90.00
_cell_angle_beta 90.00
_cell_angle_gamma 120.00
loop_
_atom_site_label
_atom_site_type_symbol
_atom_site_fract_x
_atom_site_fract_y
_atom_site_fract_z
_atom_site_occupancy
Ba1 Ba 0.0000 0.0000 0.2409 1
Tl1 Tl 0.0000 0.0000 0.5000 1
Tl2 Tl 0.0749 0.5375 0.2990 1
Tl3 Tl 0.1003 0.5502 0.5634 1
# Density   8729 kg/m3
# ΔE_f   -27 meV per atom
# E_tot   -2.33 eV per atom

---

3.
# LaTl3N (PBE, optimized geometry)
data_LaTl3N
_chemical_formula_sum 'La1 Tl3 N1'
_space_group_name_H-M_alt 'P m -3 m'
_space_group_IT_number 221
_space_group_name_Hall '-P 4 2 3'
_cell_length_a 5.082
_cell_length_b 5.082
_cell_length_c 5.082
_cell_angle_alpha 90.00
_cell_angle_beta 90.00
_cell_angle_gamma 90.00
loop_
_atom_site_label
_atom_site_type_symbol
_atom_site_fract_x
_atom_site_fract_y
_atom_site_fract_z
_atom_site_occupancy
La1 La 0.000 0.000 0.000 1
Tl1 Tl 0.000 0.500 0.500 1
N1 N 0.500 0.500 0.500 1
# Density   9693 kg/m3
# Uncorrected formation energy   48 kJ per mole of atoms
# E_tot   -3.57 eV per atom

---

4.
# TcSeCl (PBE, optimized geometry)
data_TcSeCl
_chemical_formula_sum 'Tc4 Se4 Cl4'
_space_group_name_H-M_alt 'F -4 3 m'
_space_group_IT_number 216
_space_group_name_Hall 'F -4 2 3'
_cell_length_a 6.024
_cell_length_b 6.024
_cell_length_c 6.024
_cell_angle_alpha 90.00
_cell_angle_beta 90.00
_cell_angle_gamma 90.00
loop_
_atom_site_label
_atom_site_type_symbol
_atom_site_fract_x
_atom_site_fract_y
_atom_site_fract_z
_atom_site_occupancy
Tc1 Tc 0.000 0.000 0.000 1
Se1 Se 0.250 0.250 0.750 1
Cl1 Cl 0.250 0.250 0.250 1
# Density   6453 kg/m3
# Uncorrected formation energy   -1 kJ per mole of atoms
# E_tot   -5.24 eV per atom

---

5.
# SrCa4Ag5 (PBE, optimized geometry)
data_SrCa4Ag5
_chemical_formula_sum 'Sr1 Ca4 Ag5'
_space_group_name_H-M_alt 'P 4/m m m'
_space_group_IT_number 123
_space_group_name_Hall '-P 4 2'
_cell_length_a 3.782
_cell_length_b 3.782
_cell_length_c 18.570
_cell_angle_alpha 90.00
_cell_angle_beta 90.00
_cell_angle_gamma 90.00
loop_
_atom_site_label
_atom_site_type_symbol
_atom_site_fract_x
_atom_site_fract_y
_atom_site_fract_z
_atom_site_occupancy
Sr1 Sr 0.000 0.000 0.000 1
Ca1 Ca 0.000 0.000 0.207 1
Ca2 Ca 0.000 0.000 0.402 1
Ag1 Ag 0.500 0.500 0.113 1
Ag2 Ag 0.500 0.500 0.303 1
Ag3 Ag 0.500 0.500 0.500 1
# Density   4923 kg/m3
# ΔE_f   -303 meV per atom
# E_tot   -2.70 eV per atom

---

6.
# Pm3Cd2Pb (PBE, optimized geometry)
data_Pm3Cd2Pb
_chemical_formula_sum 'Pm3 Cd2 Pb1'
_space_group_name_H-M_alt 'P 4/m m m'
_space_group_IT_number 123
_space_group_name_Hall '-P 4 2'
_cell_length_a 3.798
_cell_length_b 3.798
_cell_length_c 11.950
_cell_angle_alpha 90.00
_cell_angle_beta 90.00
_cell_angle_gamma 90.00
loop_
_atom_site_label
_atom_site_type_symbol
_atom_site_fract_x
_atom_site_fract_y
_atom_site_fract_z
_atom_site_occupancy
Pm1 Pm 0.000 0.000 0.000 1
Pm2 Pm 0.000 0.000 0.324 1
Cd1 Cd 0.500 0.500 0.157 1
Pb1 Pb 0.500 0.500 0.500 1
# Density   8352 kg/m3
# ΔE_f   -383 meV per atom
# E_tot   -3.68 eV per atom

---

7.
# HoHgBi (PBE, optimized geometry)
data_HoHgBi
_chemical_formula_sum 'Ho1 Hg1 Bi1'
_space_group_name_H-M_alt 'P 3 m 1'
_space_group_IT_number 156
_space_group_name_Hall 'P 3 -2"'
_cell_length_a 4.7911
_cell_length_b 4.7911
_cell_length_c 4.3328
_cell_angle_alpha 90.00
_cell_angle_beta 90.00
_cell_angle_gamma 120.00
loop_
_atom_site_label
_atom_site_type_symbol
_atom_site_fract_x
_atom_site_fract_y
_atom_site_fract_z
_atom_site_occupancy
Ho1 Ho 0.0000 0.0000 0.0000 1
Hg1 Hg 0.6667 0.3333 0.7364 1
Bi1 Bi 0.3333 0.6667 0.4078 1
# Density   11076 kg/m3
# ΔE_f   -413 meV per atom
# E_tot   -3.33 eV per atom

---

8.
# Ce3B2IrPt9 (PBE, optimized geometry)
data_Ce3B2IrPt9
_chemical_formula_sum 'Ce3 B2 Ir1 Pt9'
_space_group_name_H-M_alt 'P -3 m 1'
_space_group_IT_number 164
_space_group_name_Hall '-P 3 2"'
_cell_length_a 5.6810
_cell_length_b 5.6810
_cell_length_c 9.7637
_cell_angle_alpha 90.00
_cell_angle_beta 90.00
_cell_angle_gamma 120.00
loop_
_atom_site_label
_atom_site_type_symbol
_atom_site_fract_x
_atom_site_fract_y
_atom_site_fract_z
_atom_site_occupancy
Ce1 Ce 0.0000 0.0000 0.0000 1
Ce2 Ce 0.3333 0.6667 0.5907 1
B1 B 0.3333 0.6667 0.1464 1
Ir1 Ir 0.0000 0.0000 0.5000 1
Pt1 Pt 0.0000 0.5000 0.0000 1
Pt2 Pt 0.1636 0.3272 0.2792 1
# Density   14543 kg/m3
# ΔE_f   -686 meV per atom
# E_tot   -6.98 eV per atom

---

9.
# MnPd5Au4 (PBE, optimized geometry)
data_MnPd5Au4
_chemical_formula_sum 'Mn2 Pd10 Au8'
_space_group_name_H-M_alt 'C 1 2/m 1'
_space_group_IT_number 12
_space_group_name_Hall '-C 2y'
_cell_length_a 14.046
_cell_length_b 4.173
_cell_length_c 6.890
_cell_angle_alpha 90.00
_cell_angle_beta 118.34
_cell_angle_gamma 90.00
loop_
_atom_site_label
_atom_site_type_symbol
_atom_site_fract_x
_atom_site_fract_y
_atom_site_fract_z
_atom_site_occupancy
Mn1 Mn 0.000 0.000 0.000 1
Pd1 Pd 0.000 0.000 0.500 1
Pd2 Pd 0.167 0.500 0.710 1
Pd3 Pd 0.180 0.500 0.120 1
Au1 Au 0.018 0.500 0.255 1
Au2 Au 0.174 0.000 0.417 1
# Density   12847 kg/m3
# ΔE_f   84 meV per atom
# E_tot   -4.74 eV per atom

---

10.
# AlOs2W (PBE, optimized geometry)
data_AlOs2W
_chemical_formula_sum 'Al1 Os2 W1'
_space_group_name_H-M_alt 'P 1 m 1'
_space_group_IT_number 6
_space_group_name_Hall 'P -2y'
_cell_length_a 2.808
_cell_length_b 4.031
_cell_length_c 5.256
_cell_angle_alpha 90.00
_cell_angle_beta 90.06
_cell_angle_gamma 90.00
loop_
_atom_site_label
_atom_site_type_symbol
_atom_site_fract_x
_atom_site_fract_y
_atom_site_fract_z
_atom_site_occupancy
Al1 Al 0.000 0.000 0.000 1
Os1 Os 0.004 0.000 0.499 1
Os2 Os 0.503 0.500 0.802 1
W1 W 0.497 0.500 0.277 1
# Density   16505 kg/m3
# ΔE_f   -56 meV per atom
# E_tot   -9.84 eV per atom

---

Question: What is the density in the third record?
Answer: 9693 kg/m3

---

Question: Look up the density of the sixth one.
Answer: 8352 kg/m3